Entry 1:
Compound: Tm2ScCu3
Source: Alexandria via LeMat-Bulk
Functional: GGA-PBE
Structure: relaxed

Values from the calculation:
SG = P4/mmm

Structure (extended XYZ):
```
6
Lattice="-0.9901 -0.1340 3.2015 -0.1005 -3.3479 -0.1712 9.6969 -0.4435 2.9805" Properties=species:S:1:pos:R:3 pbc="T T T"
Tm 7.4863 -2.1083 3.9838
Tm 1.1199 -1.8171 2.0270
Cu 3.3812 -0.1547 1.0392
Cu 6.3157 -0.2889 1.9412
Cu 0.0000 0.0000 0.0000
Sc 4.3031 -1.9627 3.0054
```

***

Entry 2:
Compound: TmSc5Cu4
Source: Alexandria via LeMat-Bulk
Functional: GGA-PBE
Structure: relaxed

Values from the calculation:
SG = P4/mmm

Structure (extended XYZ):
```
10
Lattice="-0.6824 0.3419 3.1766 -2.7365 -1.7391 -0.4007 9.1022 -15.1488 3.5859" Properties=species:S:1:pos:R:3 pbc="T T T"
Sc -0.4514 -2.7924 1.8836
Sc 6.1347 -13.7536 4.4782
Sc 2.8416 -8.2730 3.1809
Sc 4.4947 -11.0241 3.8321
Sc 1.1886 -5.5219 2.5297
Tm 0.0000 0.0000 0.0000
Cu 2.0758 -3.4548 0.8178
Cu 3.7365 -6.2187 1.4720
Cu 5.3657 -8.9301 2.1138
Cu 7.0264 -11.6940 2.7681
```

***

Entry 3:
Compound: Tm3Sc2Cu3
Source: Alexandria via LeMat-Bulk
Functional: GGA-PBE
Structure: relaxed

Values from the calculation:
SG = Immm

Structure (extended XYZ):
```
8
Lattice="3.3564 0.0000 -0.5405 -0.1848 4.7717 -1.1475 -0.0240 0.0066 10.5414" Properties=species:S:1:pos:R:3 pbc="T T T"
Sc 0.7539 3.6823 4.6810
Sc 2.3937 1.0961 4.1724
Cu 0.3746 0.5739 2.3260
Cu 2.7729 4.2045 6.5274
Cu -0.0924 2.3859 -0.5737
Tm 1.1873 1.8188 7.3720
Tm 1.6782 0.0000 -0.2703
Tm 1.9603 2.9596 1.4814
```

***

Entry 4:
Compound: TmScZnCu
Source: Alexandria via LeMat-Bulk
Functional: GGA-PBE
Structure: relaxed

Values from the calculation:
SG = F-43m
relative energy among the computed polymorphs = 16 meV/atom

Structure (extended XYZ):
```
4
Lattice="4.7972 0.0000 0.0000 2.3986 4.1545 0.0000 2.3986 1.3848 3.9169" Properties=species:S:1:pos:R:3 pbc="T T T"
Tm 0.0000 0.0000 0.0000
Zn 7.1958 4.1545 2.9377
Cu 2.3986 1.3848 0.9792
Sc 4.7972 2.7697 1.9584
```

***

no.,calculated formation energy (eV per atom)
1,-0.28
2,-0.20
3,-0.20
4,-0.30